A plane-wave DFT calculation with PBE-GGA was carried out for crystalline La2Pr12Sm5 at its relaxed geometry.

a b c (Å): 10.2549 9.7143 8.1353
angles (deg): 89.49 90.00 121.86
Positions (direct):
La 0.7840 0.0000 0.0000
La 0.2160 0.0000 0.0000
Pr 0.8377 0.6754 0.1231
Pr 0.0358 0.6174 0.7912
Pr 0.5816 0.6174 0.7912
Pr 0.1686 0.7893 0.3886
Pr 0.6207 0.7893 0.3886
Pr 0.4490 0.8981 0.7119
Pr 0.5510 0.1019 0.2881
Pr 0.8314 0.2107 0.6114
Pr 0.3793 0.2107 0.6114
Pr 0.9642 0.3826 0.2088
Pr 0.4184 0.3826 0.2088
Pr 0.1623 0.3246 0.8769
Sm 0.2491 0.4983 0.5126
Sm 0.3531 0.7061 0.0794
Sm 0.0000 0.0000 0.5000
Sm 0.6469 0.2939 0.9206
Sm 0.7509 0.5017 0.4874

Output
Space group: C2/m, No. 12
Energy of formation from the pure elements (eV/atom): 0.1105
E above lowest polymorph (meV/atom): 22.8
Crystal system: monoclinic
Volume (Å³/atom): 36.2
Fermi-level density of states (states/eV per cell): 26.56



A plane-wave DFT calculation with PBE-GGA was carried out for crystalline TbHo4Rh4 at its relaxed geometry.

a b c (Å): 5.5973 8.7774 8.7774
angles (deg): 90.00 90.00 90.00
Positions (direct):
Tb 0.0000 0.0000 0.0000
Tb 0.5000 0.5000 0.5000
Ho 0.4081 0.3199 0.9121
Ho 0.9081 0.5879 0.8199
Ho 0.4081 0.6801 0.0879
Ho 0.0919 0.1801 0.5879
Ho 0.5919 0.9121 0.6801
Ho 0.0919 0.8199 0.4121
Ho 0.9081 0.4121 0.1801
Ho 0.5919 0.0879 0.3199
Rh 0.5945 0.7782 0.3753
Rh 0.5945 0.2218 0.6247
Rh 0.0945 0.8753 0.7218
Rh 0.9055 0.2782 0.8753
Rh 0.9055 0.7218 0.1247
Rh 0.4055 0.3753 0.2218
Rh 0.4055 0.6247 0.7782
Rh 0.0945 0.1247 0.2782

Output
Space group: P4_2/n, No. 86
Energy of formation from the pure elements (eV/atom): -0.6751
Crystal system: tetragonal
Volume (Å³/atom): 24.0
Fermi-level density of states (states/eV per cell): 11.44



A plane-wave DFT calculation with PBE-GGA was carried out for crystalline ZrBRh3 at its relaxed geometry.

a b c (Å): 2.9260 5.1280 5.1280
angles (deg): 83.05 90.00 90.00
Positions (direct):
B 0.0000 0.7440 0.2560
Rh 0.5000 0.5241 0.0867
Rh 0.5000 0.9133 0.4759
Rh 0.0000 0.0506 0.9494
Zr 0.5000 0.3961 0.6039

Output
Space group: Amm2, No. 38
Energy of formation from the pure elements (eV/atom): -0.1666
Crystal system: orthorhombic
Volume (Å³/atom): 15.3
Fermi-level density of states (states/eV per cell): 5.26



A plane-wave DFT calculation with PBE-GGA was carried out for crystalline CePrCd2 at its relaxed geometry.

a b c (Å): 3.8494 5.4726 5.4726
angles (deg): 89.96 90.00 90.00
Site moments in Bohr magnetons follow the coordinates.
Positions (direct):
Ce 0.5000 0.5000 0.5000  1.06
Pr 0.5000 0.0000 0.0000  0.19
Cd 0.0000 0.5000 0.0000  0.02
Cd 0.0000 0.0000 0.5000  0.02

Output
Space group: P4/mmm, No. 123
Energy of formation from the pure elements (eV/atom): -0.2123
E above lowest polymorph (meV/atom): 2.4
Crystal system: tetragonal
Volume (Å³/atom): 28.8
Fermi-level density of states (states/eV per cell): 10.10



A plane-wave DFT calculation with PBE-GGA was carried out for crystalline Sc4BePd3 at its relaxed geometry.

a b c (Å): 3.2523 3.2523 13.3190
angles (deg): 90.00 90.00 90.00
Positions (direct):
Sc 0.0000 0.0000 0.8844
Sc 0.0000 0.0000 0.1156
Sc 0.0000 0.0000 0.3714
Sc 0.0000 0.0000 0.6286
Be 0.5000 0.5000 0.0000
Pd 0.5000 0.5000 0.2425
Pd 0.5000 0.5000 0.5000
Pd 0.5000 0.5000 0.7575

Output
Space group: P4/mmm, No. 123
Energy of formation from the pure elements (eV/atom): -0.6853
Crystal system: tetragonal
Volume (Å³/atom): 17.6
Fermi-level density of states (states/eV per cell): 4.88



A plane-wave DFT calculation with PBE-GGA was carried out for crystalline Y3Ho3In2 at its relaxed geometry.

a b c (Å): 4.8565 4.8422 9.6601
angles (deg): 90.00 90.00 90.00
Positions (direct):
Y 0.5000 0.0000 0.5000
Y 0.0000 0.5000 0.0000
Y 0.0000 0.5000 0.5000
Ho 0.5000 0.5000 0.7516
Ho 0.5000 0.5000 0.2484
Ho 0.5000 0.0000 0.0000
In 0.0000 0.0000 0.7502
In 0.0000 0.0000 0.2498

Output
Space group: Pmmm, No. 47
Energy of formation from the pure elements (eV/atom): -0.2691
E above lowest polymorph (meV/atom): 0.0
Crystal system: orthorhombic
Volume (Å³/atom): 28.4
Fermi-level density of states (states/eV per cell): 12.31



A plane-wave DFT calculation with PBE-GGA was carried out for crystalline Y2ZrPd at its relaxed geometry.

a b c (Å): 5.1554 5.1554 5.1554
angles (deg): 60.00 60.00 60.00
Site moments in Bohr magnetons follow the coordinates.
Positions (direct):
Y 0.2500 0.2500 0.2500  0.29
Y 0.7500 0.7500 0.7500  0.29
Zr 0.0000 0.0000 0.0000  1.18
Pd 0.5000 0.5000 0.5000  0.11

Output
Space group: Fm-3m, No. 225
Energy of formation from the pure elements (eV/atom): -0.0832
E above lowest polymorph (meV/atom): 279.5
Crystal system: cubic
Volume (Å³/atom): 24.2
Fermi-level density of states (states/eV per cell): 4.35



A plane-wave DFT calculation with PBE-GGA was carried out for crystalline Co2Te2Au at its relaxed geometry.

a b c (Å): 7.0563 7.0563 3.5183
angles (deg): 90.00 90.00 90.00
Site moments in Bohr magnetons follow the coordinates.
Positions (direct):
Co 0.3679 0.8679 0.0000  0.27
Co 0.8679 0.6321 0.0000  0.26
Co 0.6321 0.1321 0.0000  0.27
Co 0.1321 0.3679 0.0000  0.26
Te 0.1621 0.6621 0.5000  -0.01
Te 0.6621 0.8379 0.5000  0.00
Te 0.8379 0.3379 0.5000  -0.01
Te 0.3379 0.1621 0.5000  0.00
Au 0.0000 0.0000 0.0000  -0.01
Au 0.5000 0.5000 0.0000  0.00

Output
Space group: P4/mbm, No. 127
Crystal system: tetragonal
Formation energy (no corrections) (eV/atom): 0.229
Volume (Å³/atom): 17.5
Fermi-level density of states (states/eV per cell): 11.21



A plane-wave DFT calculation with PBE-GGA was carried out for crystalline GaBiPb3 at its relaxed geometry.

a b c (Å): 5.5048 5.5048 5.5048
angles (deg): 90.00 90.00 90.00
Positions (direct):
Pb 0.0000 0.5000 0.0000
Pb 0.0000 0.0000 0.5000
Pb 0.5000 0.0000 0.0000
Bi 0.5000 0.5000 0.5000
Ga 0.0000 0.0000 0.0000

Output
Space group: Pm-3m, No. 221
Energy of formation from the pure elements (eV/atom): 0.2918
E above lowest polymorph (meV/atom): 241.0
Crystal system: cubic
Volume (Å³/atom): 33.4
Fermi-level density of states (states/eV per cell): 2.80



A plane-wave DFT calculation with PBE-GGA was carried out for crystalline FeIr2 at its relaxed geometry.

a b c (Å): 5.3779 3.8087 8.0295
angles (deg): 90.00 90.00 90.00
Site moments in Bohr magnetons follow the coordinates.
Positions (direct):
Ir 0.1170 0.2500 0.2471  0.03
Ir 0.3830 0.7500 0.7471  0.03
Ir 0.6170 0.2500 0.2529  0.03
Ir 0.8830 0.7500 0.7529  0.03
Ir 0.1350 0.2500 0.5812  -0.01
Ir 0.3650 0.7500 0.0812  -0.01
Ir 0.6350 0.2500 0.9188  -0.01
Ir 0.8650 0.7500 0.4188  -0.01
Fe 0.6289 0.2500 0.5848  2.46
Fe 0.8711 0.7500 0.0848  2.46
Fe 0.1289 0.2500 0.9152  2.46
Fe 0.3711 0.7500 0.4152  2.46

Output
Space group: Pnma, No. 62
Energy of formation from the pure elements (eV/atom): -0.0275
Crystal system: orthorhombic
Volume (Å³/atom): 13.7
Fermi-level density of states (states/eV per cell): 15.03



A plane-wave DFT calculation with PBE-GGA was carried out for crystalline KScCl at its relaxed geometry.

a b c (Å): 3.6015 3.6015 7.4902
angles (deg): 90.00 90.00 120.00
Site moments in Bohr magnetons follow the coordinates.
Positions (direct):
Sc 0.6667 0.3333 0.7321  0.55
K 0.3333 0.6667 0.2968  0.01
Cl 0.0000 0.0000 0.9711  0.00

Output
Space group: P3m1, No. 156
E above lowest polymorph (meV/atom): 0.0
Crystal system: trigonal
Formation energy (no corrections) (eV/atom): -0.705
Volume (Å³/atom): 28.0
Fermi-level density of states (states/eV per cell): 1.07



A plane-wave DFT calculation with PBE-GGA was carried out for crystalline Sr2Se2F at its relaxed geometry.

a b c (Å): 7.7328 7.7328 4.3810
angles (deg): 90.00 90.00 90.00
Site moments in Bohr magnetons follow the coordinates.
Positions (direct):
Sr 0.3186 0.8186 0.0000  0.03
Sr 0.8186 0.6814 0.0000  0.03
Sr 0.6814 0.1814 0.0000  0.03
Sr 0.1814 0.3186 0.0000  0.03
Se 0.1284 0.6284 0.5000  0.27
Se 0.6284 0.8716 0.5000  0.27
Se 0.8716 0.3716 0.5000  0.27
Se 0.3716 0.1284 0.5000  0.27
F 0.0000 0.0000 0.0000  0.00
F 0.5000 0.5000 0.0000  0.00

Output
Space group: P4/mbm, No. 127
Crystal system: tetragonal
Formation energy (no corrections) (eV/atom): -2.078
Volume (Å³/atom): 26.2
Fermi-level density of states (states/eV per cell): 0.00



A plane-wave DFT calculation with PBE-GGA was carried out for crystalline Li2Pm3Pb6 at its relaxed geometry.

a b c (Å): 4.9683 4.9683 13.0169
angles (deg): 101.00 101.00 90.00
Positions (direct):
Li 0.4528 0.4528 0.9055
Li 0.5472 0.5472 0.0945
Pm 0.0000 0.0000 0.0000
Pm 0.8145 0.8145 0.6291
Pm 0.1855 0.1855 0.3709
Pb 0.0949 0.5949 0.1898
Pb 0.5949 0.0949 0.1898
Pb 0.9051 0.4051 0.8102
Pb 0.4051 0.9051 0.8102
Pb 0.6889 0.6889 0.3778
Pb 0.3111 0.3111 0.6222

Output
Space group: I4/mmm, No. 139
Energy of formation from the pure elements (eV/atom): -0.2876
Crystal system: tetragonal
Volume (Å³/atom): 28.1
Fermi-level density of states (states/eV per cell): 6.76



A plane-wave DFT calculation with PBE-GGA was carried out for crystalline CrCoHg at its relaxed geometry.

a b c (Å): 2.8672 2.8672 6.4142
angles (deg): 90.00 90.00 120.00
Site moments in Bohr magnetons follow the coordinates.
Positions (direct):
Co 0.0000 0.0000 0.0335  1.09
Cr 0.6667 0.3333 0.2962  1.69
Hg 0.3333 0.6667 0.6702  -0.01

Output
Space group: P3m1, No. 156
Energy of formation from the pure elements (eV/atom): 0.5783
E above lowest polymorph (meV/atom): 170.9
Crystal system: trigonal
Volume (Å³/atom): 15.2
Fermi-level density of states (states/eV per cell): 3.85



A plane-wave DFT calculation with PBE-GGA was carried out for crystalline Zr6SnOs at its relaxed geometry.

a b c (Å): 5.6737 7.8097 5.8247
angles (deg): 67.36 85.37 48.19
Positions (direct):
Zr 0.2024 0.2424 0.7570
Zr 0.8636 0.8899 0.6531
Zr 0.4061 0.3472 0.1093
Zr 0.1364 0.1101 0.3469
Zr 0.7976 0.7576 0.2430
Zr 0.5939 0.6528 0.8907
Sn 0.5000 0.5000 0.5000
Os 0.0000 0.0000 0.0000

Output
Space group: P-1, No. 2
Energy of formation from the pure elements (eV/atom): -0.1971
Crystal system: triclinic
Volume (Å³/atom): 21.5
Fermi-level density of states (states/eV per cell): 8.53



A plane-wave DFT calculation with PBE-GGA was carried out for crystalline In2CuSe at its relaxed geometry.

a b c (Å): 3.9152 3.9152 7.4943
angles (deg): 74.99 74.99 59.73
Positions (direct):
Cu 0.2383 0.2383 0.2848
In 0.9793 0.9793 0.0605
In 0.7624 0.7624 0.7157
Se 0.5199 0.5199 0.4391

Output
Space group: Cm, No. 8
Crystal system: monoclinic
Formation energy (no corrections) (eV/atom): -0.093
Volume (Å³/atom): 23.7
Fermi-level density of states (states/eV per cell): 1.71



A plane-wave DFT calculation with PBE-GGA was carried out for crystalline BeNiTe at its relaxed geometry.

a b c (Å): 8.7202 3.7079 3.7085
angles (deg): 119.99 90.10 89.89
Positions (direct):
Be 0.2612 0.2296 0.6507
Be 0.1177 0.8967 0.9835
Te 0.9430 0.5640 0.3163
Te 0.5463 0.2285 0.6511
Ni 0.2241 0.5630 0.3172
Ni 0.3826 0.8957 0.9843

Output
Space group: Cm, No. 8
Crystal system: monoclinic
Formation energy (no corrections) (eV/atom): -0.206
Volume (Å³/atom): 17.3
Fermi-level density of states (states/eV per cell): 3.18



A plane-wave DFT calculation with PBE-GGA was carried out for crystalline FeNiTe2 at its relaxed geometry.

a b c (Å): 5.7088 5.7088 6.9747
angles (deg): 65.84 65.84 90.00
Positions (direct):
Ni 0.0000 0.0000 0.0000
Ni 0.7500 0.2500 0.5000
Te 0.6185 0.1250 0.2500
Te 0.1315 0.6250 0.2500
Te 0.3750 0.3815 0.7500
Te 0.8750 0.8685 0.7500
Fe 0.5000 0.5000 0.0000
Fe 0.2500 0.7500 0.5000

Output
Space group: I-42d, No. 122
E above lowest polymorph (meV/atom): 241.9
Crystal system: tetragonal
Formation energy (no corrections) (eV/atom): 0.147
Volume (Å³/atom): 23.2
Fermi-level density of states (states/eV per cell): 6.83



A plane-wave DFT calculation with PBE-GGA was carried out for crystalline NaHoCdPb at its relaxed geometry.

a b c (Å): 5.3148 5.3148 5.3148
angles (deg): 60.00 60.00 60.00
Positions (direct):
Pb 0.2500 0.2500 0.2500
Na 0.0000 0.0000 0.0000
Ho 0.5000 0.5000 0.5000
Cd 0.7500 0.7500 0.7500

Output
Space group: F-43m, No. 216
Energy of formation from the pure elements (eV/atom): -0.2669
E above lowest polymorph (meV/atom): 4.4
Crystal system: cubic
Volume (Å³/atom): 26.5
Fermi-level density of states (states/eV per cell): 1.36



A plane-wave DFT calculation with PBE-GGA was carried out for crystalline SbNCl3 at its relaxed geometry.

a b c (Å): 10.5853 5.7966 8.3270
angles (deg): 122.17 106.83 56.68
Site moments in Bohr magnetons follow the coordinates.
Positions (direct):
Sb 0.9340 0.4017 0.5403  0.00
Sb 0.4343 0.8982 0.5143  0.00
N 0.4327 0.0259 0.0222  1.93
N 0.9354 0.2731 0.0317  1.93
Cl 0.2391 0.9256 0.2753  0.01
Cl 0.1292 0.3741 0.7794  0.01
Cl 0.4336 0.3550 0.5829  0.01
Cl 0.6310 0.5337 0.2751  0.01
Cl 0.9344 0.9451 0.4716  0.01
Cl 0.7372 0.7667 0.7795  0.01

Output
Space group: P-1, No. 2
E above lowest polymorph (meV/atom): 0.0
Crystal system: triclinic
Formation energy (no corrections) (eV/atom): 0.335
Volume (Å³/atom): 36.1
Fermi-level density of states (states/eV per cell): 0.00



A plane-wave DFT calculation with PBE-GGA was carried out for crystalline Cs3Ba12Au5 at its relaxed geometry.

a b c (Å): 18.8673 18.8673 18.8673
angles (deg): 109.47 109.47 109.47
Positions (direct):
Cs 0.7500 0.3750 0.1250
Cs 0.8750 0.7500 0.1250
Cs 0.3750 0.7500 0.6250
Cs 0.2500 0.1250 0.3750
Cs 0.8750 0.1250 0.2500
Cs 0.3750 0.6250 0.2500
Cs 0.6250 0.3750 0.7500
Cs 0.1250 0.8750 0.7500
Cs 0.7500 0.8750 0.6250
Cs 0.6250 0.2500 0.3750
Cs 0.1250 0.2500 0.8750
Cs 0.2500 0.6250 0.8750
Au 0.1250 0.3750 0.2500
Au 0.0000 0.5000 0.0000
Au 0.0000 0.0000 0.0000
Au 0.3750 0.2500 0.1250
Au 0.5000 0.0000 0.5000
Au 0.5000 0.5000 0.0000
Au 0.1250 0.7500 0.3750
Au 0.7500 0.1250 0.8750
Au 0.7500 0.6250 0.3750
Au 0.3750 0.1250 0.7500
Au 0.6250 0.8750 0.2500
Au 0.5000 0.5000 0.5000
Au 0.5000 0.0000 0.0000
Au 0.0000 0.0000 0.5000
Au 0.2500 0.3750 0.6250
Au 0.2500 0.8750 0.1250
Au 0.0000 0.5000 0.5000
Au 0.8750 0.2500 0.6250
Au 0.6250 0.7500 0.8750
Au 0.8750 0.6250 0.7500
Ba 0.6835 0.0896 0.9999
Ba 0.3165 0.4999 0.4103
Ba 0.0001 0.4104 0.3165
Ba 0.4999 0.1835 0.0896
Ba 0.5938 0.6835 0.6835
Ba 0.0001 0.5897 0.1835
Ba 0.3165 0.8165 0.4062
Ba 0.0897 0.9062 0.0896
Ba 0.5897 0.0001 0.6835
Ba 0.6835 0.5938 0.1835
Ba 0.8165 0.5001 0.4104
Ba 0.8165 0.9103 0.9999
Ba 0.0896 0.6835 0.4999
Ba 0.4104 0.4103 0.0938
Ba 0.0938 0.9103 0.4104
Ba 0.4062 0.0896 0.5897
Ba 0.0938 0.1835 0.1835
Ba 0.5001 0.6835 0.0897
Ba 0.8165 0.9062 0.3165
Ba 0.0896 0.4062 0.0897
Ba 0.4104 0.0001 0.8165
Ba 0.5897 0.5896 0.4062
Ba 0.9103 0.8165 0.4999
Ba 0.8165 0.3165 0.9062
Ba 0.4103 0.4104 0.5938
Ba 0.0897 0.1835 0.5001
Ba 0.1835 0.6835 0.0938
Ba 0.1835 0.0938 0.6835
Ba 0.5896 0.9999 0.1835
Ba 0.9104 0.5938 0.9103
Ba 0.4999 0.3165 0.9103
Ba 0.5938 0.9104 0.4103
Ba 0.9062 0.8165 0.8165
Ba 0.9062 0.0897 0.5896
Ba 0.9104 0.3165 0.5001
Ba 0.1835 0.0897 0.0001
Ba 0.5896 0.5897 0.9062
Ba 0.4103 0.9999 0.3165
Ba 0.3165 0.4062 0.8165
Ba 0.1835 0.4999 0.5896
Ba 0.9103 0.0938 0.9104
Ba 0.6835 0.1835 0.5938
Ba 0.5001 0.8165 0.9104
Ba 0.9999 0.4103 0.8165
Ba 0.4062 0.3165 0.3165
Ba 0.9999 0.5896 0.6835
Ba 0.6835 0.5001 0.5897
Ba 0.3165 0.9104 0.0001

Output
Space group: Ia-3d, No. 230
Energy of formation from the pure elements (eV/atom): -0.1404
Crystal system: cubic
Volume (Å³/atom): 64.6
Fermi-level density of states (states/eV per cell): 98.50